[1]
Compound: Nb2AlTe
Source: the Alexandria database
Functional: GGA-PBE
Structure: optimized geometry

a b c (Å): 4.065 4.065 10.301
angles (deg): 78.62 78.62 90.00
Fractional positions:
Nb (0.611, 0.125, 0.250)
Nb (0.139, 0.625, 0.250)
Nb (0.375, 0.389, 0.750)
Nb (0.875, 0.861, 0.750)
Te (0.000, 0.000, 0.000)
Te (0.750, 0.250, 0.500)
Al (0.500, 0.500, 0.000)
Al (0.250, 0.750, 0.500)

Output
The polymorph energy (0 for the lowest one) comes out at 139 meV/atom. The calculation puts the total magnetization at 0.00 μB per atom. Its uncorrected formation energy is 0.208 eV per atom. The space-group type is I-42d.

[2]
Compound: Sm4InIr
Source: the Alexandria database
Functional: GGA-PBE
Structure: optimized geometry

a b c (Å): 9.865 9.865 9.865
angles (deg): 60.00 60.00 60.00
Fractional positions:
Sm (0.401, 0.401, 0.401)
Sm (0.796, 0.401, 0.401)
Sm (0.401, 0.796, 0.401)
Sm (0.401, 0.401, 0.796)
Sm (0.558, 0.558, 0.942)
Sm (0.942, 0.942, 0.558)
Sm (0.558, 0.942, 0.558)
Sm (0.942, 0.558, 0.942)
Sm (0.942, 0.558, 0.558)
Sm (0.558, 0.942, 0.942)
Sm (0.190, 0.190, 0.810)
Sm (0.810, 0.810, 0.190)
Sm (0.190, 0.810, 0.190)
Sm (0.810, 0.190, 0.810)
Sm (0.810, 0.190, 0.190)
Sm (0.190, 0.810, 0.810)
In (0.168, 0.168, 0.168)
In (0.496, 0.168, 0.168)
In (0.168, 0.496, 0.168)
In (0.168, 0.168, 0.496)
Ir (0.609, 0.609, 0.609)
Ir (0.174, 0.609, 0.609)
Ir (0.609, 0.174, 0.609)
Ir (0.609, 0.609, 0.174)

Output
The polymorph energy (0 for the lowest one) comes out at 0 meV/atom. The calculation puts the total magnetization at 0.00 μB per atom. The formation energy is -0.525 eV per atom. The space-group type is F-43m.

Look up the polymorph energy (0 for the lowest one) of the first one. 139 meV/atom

Among the records above, which one has the lowest polymorph energy (0 for the lowest one)? Sm4InIr